Entry 1:
## Li2SiSnH (PBE)

Data for a relaxed Li2SiSnH crystal.

Computed properties:
DOS(E_F) in states/eV per cell: 1.43
Magnetization in μB per atom: 0.00
Raw total energy in eV per atom: -3.41
Calculated volume in Å³/cell: 71.79

a = 4.0439 Å, b = 4.0439 Å, c = 4.3898 Å
α = 90.00°, β = 90.00°, γ = 90.00°
Closest atoms and distances in Å follow each position.
Fractional positions:
1 Li 0.0000 0.5000 0.0000  2 H 2.02
2 Li 0.5000 0.0000 0.0000  2 H 2.02
3 Si 0.0000 0.0000 0.5000  2 H 2.19
4 Sn 0.5000 0.5000 0.5000  4 Si 2.86, 8 Li 2.98
5 H 0.0000 0.0000 0.0000  4 Li 2.02, 2 Si 2.19


Entry 2:
## Tm5SiNi2 (PBE)

Data for a relaxed Tm5SiNi2 crystal.

Computed properties:
Uncorrected formation energy in eV per atom: -0.469
DOS(E_F) in states/eV per cell: 14.27
Magnetization in μB per atom: 0.00
Calculated volume in Å³/cell: 351.61

a = 8.3057 Å, b = 8.3057 Å, c = 8.3057 Å
α = 127.29°, β = 127.29°, γ = 77.79°
Closest atoms and distances in Å follow each position.
Fractional positions:
1 Tm 0.0000 0.0000 0.0000  4 Ni 2.91, 2 Si 3.23
2 Tm 0.0200 0.5200 0.8251  3 Ni 2.83-2.87, 2 Si 3.09
3 Tm 0.1950 0.0200 0.5000  3 Ni 2.83-2.87, 2 Si 3.09
4 Tm 0.3050 0.8050 0.8251  3 Ni 2.83-2.87, 2 Si 3.09
5 Tm 0.4800 0.3050 0.5000  3 Ni 2.83-2.87, 2 Si 3.09
6 Tm 0.5000 0.5000 0.0000  4 Ni 2.91, 2 Si 3.23
7 Tm 0.5200 0.6950 0.5000  3 Ni 2.83-2.87, 2 Si 3.09
8 Tm 0.6950 0.1950 0.1749  3 Ni 2.83-2.87, 2 Si 3.09
9 Tm 0.8050 0.9800 0.5000  3 Ni 2.83-2.87, 2 Si 3.09
10 Tm 0.9800 0.4800 0.1749  3 Ni 2.83-2.87, 2 Si 3.09
11 Si 0.2500 0.2500 0.0000  10 Tm 3.09-3.23
12 Si 0.7500 0.7500 0.0000  10 Tm 3.09-3.23
13 Ni 0.1266 0.3734 0.5000  1 Ni 2.64, 8 Tm 2.83-2.91
14 Ni 0.3734 0.8734 0.2469  1 Ni 2.64, 8 Tm 2.83-2.91
15 Ni 0.6266 0.1266 0.7531  1 Ni 2.64, 8 Tm 2.83-2.91
16 Ni 0.8734 0.6266 0.5000  1 Ni 2.64, 8 Tm 2.83-2.91


Entry 3:
## LiScAgGe (PBE)

Data for a relaxed LiScAgGe crystal.

Computed properties:
DOS(E_F) in states/eV per cell: 1.91
Magnetization in μB per atom: 0.00
Formation enthalpy at 0 K in kJ per mole of atoms: -42
Calculated volume in Å³/cell: 70.72

a = 4.6418 Å, b = 4.6418 Å, c = 4.6418 Å
α = 60.00°, β = 60.00°, γ = 60.00°
Closest atoms and distances in Å follow each position.
Fractional positions:
1 Li 0.0000 0.0000 0.0000  4 Ge 2.84, 4 Ag 2.84
2 Sc 0.5000 0.5000 0.5000  4 Ge 2.84, 4 Ag 2.84
3 Ag 0.2500 0.2500 0.2500  4 Sc 2.84, 4 Li 2.84
4 Ge 0.7500 0.7500 0.7500  4 Sc 2.84, 4 Li 2.84